Computed, not measured: a relaxed structure of LiCa2Zn12Cu3 at the PBE level of DFT.

a = 7.513 Å, b = 7.513 Å, c = 7.513 Å
α = 72.63°, β = 72.63°, γ = 72.63°
Fractional coordinates of all 18 atoms:
Li 0.000 0.000 0.000
Ca 0.608 0.608 0.608
Ca 0.392 0.392 0.392
Zn 0.300 0.300 0.836
Zn 0.860 0.860 0.350
Zn 0.350 0.860 0.860
Zn 0.836 0.300 0.300
Zn 0.860 0.350 0.860
Zn 0.300 0.836 0.300
Zn 0.700 0.700 0.164
Zn 0.140 0.140 0.650
Zn 0.650 0.140 0.140
Zn 0.164 0.700 0.700
Zn 0.140 0.650 0.140
Zn 0.700 0.164 0.700
Cu 0.500 0.000 0.000
Cu 0.000 0.500 0.000
Cu 0.000 0.000 0.500

Values from the calculation:
D(E_F) = 5.871 states/eV/f.u.
energy of formation from the pure elements = 0.179 eV per atom
total magnetic moment = 0.00 μB/cell
V = 376.0 Å³ per cell
total DFT energy (no corrections) = -30.264 eV per cell

Computed, not measured: a relaxed structure of LiEuHo at the PBE level of DFT.

a = 3.767 Å, b = 3.767 Å, c = 6.988 Å
α = 105.64°, β = 105.64°, γ = 90.00°
Site moments in Bohr magnetons follow the coordinates.
Fractional coordinates of all 3 atoms:
Eu 0.320 0.320 0.640  6.95
Ho 0.020 0.020 0.041  0.25
Li 0.660 0.660 0.319  0.01

Values from the calculation:
D(E_F) = 3.481 states/eV/f.u.
energy of formation from the pure elements = 0.134 eV per atom
offset from the most stable computed form = 0 meV/atom
total magnetic moment = 7.79 μB/cell
V = 91.7 Å³ per cell
total DFT energy (no corrections) = -16.365 eV per cell

Computed, not measured: a relaxed structure of TlSnBr2Cl at the PBE level of DFT.

a = 8.094 Å, b = 8.094 Å, c = 7.996 Å
α = 120.41°, β = 120.41°, γ = 90.00°
Fractional coordinates of all 10 atoms:
Tl 0.751 0.251 0.503
Tl 0.251 0.751 0.503
Sn 0.997 0.997 0.994
Sn 0.497 0.497 0.994
Br 0.322 0.822 0.996
Br 0.822 0.674 0.996
Br 0.674 0.174 0.996
Br 0.174 0.322 0.996
Cl 0.756 0.756 0.512
Cl 0.256 0.256 0.512

Values from the calculation:
offset from the most stable computed form = 0 meV/atom
total magnetic moment = 0.00 μB/cell
V = 365.8 Å³ per cell
total DFT energy (no corrections) = -31.717 eV per cell